VASP calculation (GGA-PBE) on an optimized crystal structure of Pb2SeO.

```
Pb2SeO
1.0
4.2227 0.0000 0.0000
0.0000 6.7741 -1.1277
0.0000 -0.2146 6.8640
Pb Se O
4 2 2
Direct
0.0000 0.0000 0.5000 Pb
0.0000 0.0000 0.0000 Pb
0.0000 0.5000 0.0000 Pb
0.5000 0.5000 0.5000 Pb
0.5000 0.2099 0.7901 Se
0.5000 0.7901 0.2099 Se
0.0000 0.7029 0.7029 O
0.0000 0.2971 0.2971 O
```

Computed properties:
* symmetry: No. 65
* density of states at the Fermi level: 0.1 states/eV per cell
* V: 195 Å³ per cell
* size of the total moment: 0.0 μB per cell
* formation energy (no corrections): -2.48 eV per formula unit